! PBE with a Hubbard U Ta2Zn2CoO8, optimized geometry; values from VASP
! space-group type	C2/c, No. 15
! E_tot	-7.59	eV per atom
! density of states at the Fermi level	0.00	states/eV/cell
&SYSTEM
  ibrav = 0, nat = 26, ntyp = 4
/
ATOMIC_SPECIES
Ta 180.95 Ta.upf
Zn 65.41 Zn.upf
Co 58.93 Co.upf
O 16.00 O.upf
CELL_PARAMETERS angstrom
9.651 -2.971 0.000
9.651 2.971 0.000
-0.010 0.000 5.282
ATOMIC_POSITIONS crystal
Ta 0.043 0.729 0.735
Ta 0.271 0.957 0.765
Ta 0.729 0.043 0.235
Ta 0.957 0.271 0.265
Zn 0.128 0.435 0.232
Zn 0.435 0.128 0.732
Zn 0.565 0.872 0.268
Zn 0.872 0.565 0.768
Co 0.360 0.640 0.250
Co 0.640 0.360 0.750
O 0.046 0.816 0.072
O 0.075 0.280 0.566
O 0.159 0.455 0.861
O 0.184 0.954 0.428
O 0.280 0.075 0.066
O 0.316 0.568 0.588
O 0.432 0.684 0.912
O 0.455 0.159 0.361
O 0.545 0.841 0.639
O 0.568 0.316 0.088
O 0.684 0.432 0.412
O 0.720 0.925 0.934
O 0.816 0.046 0.572
O 0.841 0.545 0.139
O 0.925 0.720 0.434
O 0.954 0.184 0.928